Record 1
The following is a PBE-GGA calculation of a relaxed structure of CsAgGe2Cl, from Alexandria.

As for the density of states at the Fermi level: 0.564 states/eV/atom. As for the uncorrected energy: -3.020 eV per atom. The energy relative to the elements, uncorrected is -30 kJ/mol of formula units. The calculation puts the calculated volume at 188.93 Å³ per cell.

The space group is P4/mmm (No. 123) and the conventional cell measures 4.900, 4.900 and 7.870 Å, with angles of 90.00, 90.00 and 90.00 degrees. The inequivalent atoms are Cs at (0.000, 0.000, 0.000), Ag at (0.500, 0.500, 0.500), Ge at (0.000, 0.500, 0.500) and Cl at (0.500, 0.500, 0.000).

=====

Record 2
The following is a PBE-GGA calculation of a relaxed structure of Tm2FeIr, from Alexandria.

As for the density of states at the Fermi level: 1.412 states/eV/atom. As for the uncorrected energy: -6.982 eV per atom. The calculation puts the calculated volume at 76.25 Å³ per cell.

The space group is P4/mmm (No. 123) and the conventional cell measures 4.816, 4.816 and 3.287 Å, with angles of 90.00, 90.00 and 90.00 degrees. The inequivalent atoms are Tm at (0.000, 0.500, 0.000), Fe at (0.000, 0.000, 0.500) and Ir at (0.500, 0.500, 0.500).